Material: TbPmNi2
Method: DFT, PBE
State: optimized geometry

Cell and atoms, written as CIF:
```
data_TbPmNi2
_chemical_formula_sum 'Tb1 Pm1 Ni2'
_cell_length_a 4.881
_cell_length_b 4.881
_cell_length_c 3.383
_cell_angle_alpha 90.00
_cell_angle_beta 90.00
_cell_angle_gamma 90.00
_space_group_name_H-M_alt 'P 4/m m m'
_space_group_IT_number 123
_space_group_name_Hall '-P 4 2'
loop_
_atom_site_label
_atom_site_fract_x
_atom_site_fract_y
_atom_site_fract_z
Tb1 0.000 0.000 0.000
Pm1 0.500 0.500 0.000
Ni1 0.000 0.500 0.500
```

Summary:
ΔE to the lowest computed polymorph in kcal/mol of atoms: 1.92
DFT formation energy in meV/atom: -309